# CoReTcSn2

A relaxed CoReTcSn2 crystal (PBE, Alexandria).

Properties
space-group type: P4/mmm, No. 123
energy of formation: 1499 meV/atom
VASP energy: -6.086 eV per atom

POSCAR file:
```
CoReTcSn2
1.0
5.065 0.000 0.000
0.000 5.065 0.000
0.000 0.000 4.729
Co Re Tc Sn
1 1 1 2
Cartesian
0.000 0.000 0.000
2.533 2.533 0.000
2.533 2.533 2.365
0.000 2.533 2.365
2.533 0.000 2.365
```

# Ga2CuAuSe

A relaxed Ga2CuAuSe crystal (PBE, Alexandria).

Properties
space-group type: P4/mmm, No. 123
formation energy (no corrections): 0.70 eV per atom
VASP energy: -2.679 eV per atom
energy relative to the lowest polymorph listed for this composition: 460 meV/atom

POSCAR file:
```
Ga2CuAuSe
1.0
5.248 0.000 0.000
0.000 5.248 0.000
0.000 0.000 4.995
Ga Cu Au Se
2 1 1 1
Cartesian
0.000 2.624 0.000
2.624 0.000 0.000
0.000 0.000 2.498
2.624 2.624 2.498
2.624 2.624 0.000
```

# Nd2MgZr

A relaxed Nd2MgZr crystal (PBE, Alexandria).

Properties
space-group type: R-3m, No. 166
energy of formation: 325 meV/atom
VASP energy: -4.595 eV per atom
energy relative to the lowest polymorph listed for this composition: 289 meV/atom

POSCAR file:
```
Nd2MgZr
1.0
1.644 0.949 12.318
-1.644 0.949 12.318
0.000 -1.898 12.318
Nd Mg Zr
2 1 1
Cartesian
0.000 0.000 3.188
0.000 0.000 33.767
0.000 0.000 18.477
0.000 0.000 0.000
```

# VHPt

A relaxed VHPt crystal (PBE, Alexandria).

Properties
space-group type: Pnma, No. 62
VASP energy: -6.503 eV per atom
energy relative to the lowest polymorph listed for this composition: 0 meV/atom

POSCAR file:
```
VHPt
1.0
4.428 0.000 0.000
0.000 2.745 0.000
0.000 0.000 10.435
V H Pt
4 4 4
Cartesian
0.706 0.686 1.040
1.508 2.058 6.257
2.920 0.686 4.178
3.722 2.058 9.395
0.873 2.058 10.310
1.341 0.686 5.093
3.087 2.058 5.342
3.556 0.686 0.125
0.679 2.058 3.400
1.535 0.686 8.617
2.893 2.058 1.818
3.749 0.686 7.035
```